1.
Density functional theory data (meta-GGA SCAN) for a PBEsol-optimized structure of MnBe2Ir.

Properties
The value obtained for the excess energy over the best structure of this formula in the dataset is 0.722 eV per atom. The value obtained for the total energy is -391.93 eV for the cell shown. The calculation puts the formation energy at 0.0199 eV per atom. As for the spin magnetization: 0.9228 μB/atom. For the density of states at the Fermi level, the calculation gives 2.2 states/eV/f.u.

Unit cell a=5.973 b=5.973 c=5.017 alpha=90.00 beta=90.00 gamma=90.00
Space group I-42d (No. 122)
Unique sites:
1 Mn 0.000 0.000 0.000 x4
2 Be 0.249 0.750 0.125 x8
3 Ir 0.000 0.000 0.500 x4

2.
Density functional theory data (meta-GGA SCAN) for a PBEsol-optimized structure of ScMn2BeIr.

Properties
The value obtained for the total energy is -125.25 eV for the cell shown. The calculation puts the formation energy at 0.1891 eV per atom. As for the spin magnetization: 1.1903 μB/atom. For the density of states at the Fermi level, the calculation gives 2.1 states/eV/f.u.

Unit cell a=3.934 b=3.934 c=4.499 alpha=90.00 beta=90.00 gamma=90.00
Space group P4/mmm (No. 123)
Unique sites:
1 Sc 0.000 0.000 0.000 x1
2 Mn 0.000 0.500 0.500 x2
3 Be 0.000 0.000 0.500 x1
4 Ir 0.500 0.500 0.000 x1

3.
Density functional theory data (meta-GGA SCAN) for a PBEsol-optimized structure of Be3MoIr.

Properties
The value obtained for the total energy is -116.61 eV for the cell shown. The calculation puts the formation energy at 0.4875 eV per atom. As for the spin magnetization: 0.4682 μB/atom. For the density of states at the Fermi level, the calculation gives 2.7 states/eV/f.u.

Unit cell a=4.055 b=4.055 c=4.055 alpha=90.00 beta=90.00 gamma=90.00
Space group Pm-3m (No. 221)
Unique sites:
1 Be 0.000 0.000 0.500 x3
2 Mo 0.500 0.500 0.500 x1
3 Ir 0.000 0.000 0.000 x1

4.
Density functional theory data (meta-GGA SCAN) for a PBEsol-optimized structure of Be2MoIr.

Properties
The value obtained for the excess energy over the best structure of this formula in the dataset is 0.100 eV per atom. The value obtained for the total energy is -230.52 eV for the cell shown. The calculation puts the formation energy at -0.1425 eV per atom. As for the spin magnetization: 0.0000 μB/atom. For the density of states at the Fermi level, the calculation gives 2.6 states/eV/f.u.

Unit cell a=7.718 b=2.716 c=4.698 alpha=90.00 beta=102.49 gamma=90.00
Space group C2/m (No. 12)
Unique sites:
1 Be 0.242 0.000 0.209 x4
2 Mo 0.000 0.000 0.500 x2
3 Ir 0.000 0.500 0.000 x2

5.
Density functional theory data (meta-GGA SCAN) for a PBEsol-optimized structure of Be2MoIr.

Properties
The value obtained for the excess energy over the best structure of this formula in the dataset is 0.000 eV per atom. The value obtained for the total energy is -231.32 eV for the cell shown. The calculation puts the formation energy at -0.2427 eV per atom. As for the spin magnetization: 0.0000 μB/atom. For the density of states at the Fermi level, the calculation gives 2.3 states/eV/f.u.

Unit cell a=3.625 b=3.625 c=7.218 alpha=90.00 beta=90.00 gamma=90.00
Space group I-4m2 (No. 119)
Unique sites:
1 Be 0.000 0.000 0.000 x2
2 Be 0.000 0.500 0.250 x2
3 Mo 0.000 0.500 0.750 x2
4 Ir 0.000 0.000 0.500 x2

6.
Density functional theory data (meta-GGA SCAN) for a PBEsol-optimized structure of RbBeMo2Ir.

Properties
The value obtained for the total energy is -147.51 eV for the cell shown. The calculation puts the formation energy at 3.6901 eV per atom. As for the spin magnetization: 0.5713 μB/atom. For the density of states at the Fermi level, the calculation gives 3.9 states/eV/f.u.

Unit cell a=4.584 b=4.584 c=4.718 alpha=90.00 beta=90.00 gamma=90.00
Space group P4/mmm (No. 123)
Unique sites:
1 Rb 0.000 0.000 0.000 x1
2 Be 0.500 0.500 0.500 x1
3 Mo 0.000 0.500 0.000 x2
4 Ir 0.000 0.000 0.500 x1

7.
Density functional theory data (meta-GGA SCAN) for a PBEsol-optimized structure of BeReMoIr2.

Properties
The value obtained for the total energy is -242.89 eV for the cell shown. The calculation puts the formation energy at 1.9284 eV per atom. As for the spin magnetization: 0.5505 μB/atom. For the density of states at the Fermi level, the calculation gives 3.7 states/eV/f.u.

Unit cell a=4.595 b=4.595 c=4.090 alpha=90.00 beta=90.00 gamma=90.00
Space group P4/mmm (No. 123)
Unique sites:
1 Be 0.000 0.000 0.000 x1
2 Re 0.500 0.500 0.000 x1
3 Mo 0.000 0.000 0.500 x1
4 Ir 0.000 0.500 0.500 x2

8.
Density functional theory data (meta-GGA SCAN) for a PBEsol-optimized structure of BeIrN2.

Properties
The value obtained for the total energy is -279.57 eV for the cell shown. Its uncorrected formation energy is 0.84 eV per formula unit. As for the spin magnetization: 0.1979 μB/atom. For the density of states at the Fermi level, the calculation gives 3.0 states/eV/f.u.

Unit cell a=3.2048 b=3.2048 c=14.8017 alpha=90.00 beta=90.00 gamma=120.00
Space group R-3m (No. 166, hexagonal axes)
Unique sites:
1 Be 0.0000 0.0000 0.0000 x3
2 Ir 0.0000 0.0000 0.5000 x3
3 N 0.0000 0.0000 0.1040 x6